A PBEsol-optimized structure of FeIr2, computed with meta-GGA SCAN.

Calculated values
Its final energy is -1.961 Ha/atom.

The structure in extended XYZ format:
```
3
Lattice="2.6258 0.0000 0.0000 0.0000 4.2722 0.0000 0.0000 -2.1361 3.6999" Properties=species:S:1:pos:R:3 pbc="T T T"
Ir 1.3129 0.0000 2.4666
Ir 1.3129 2.1361 1.2333
Fe 0.0000 0.0000 0.0000
```